(1)
The following is a PBE calculation of AcTbTh2S4 after structural relaxation, from Alexandria via LeMat-Bulk.

The structure belongs to space group P2/m (No. 10); the cell edges are 7.044, 4.074 and 7.099 Å and the angles 90.00°, 109.18° and 90.00°. The distinct sites, in fractional coordinates, are Ac at (0.000, 0.000, 0.000), Tb at (0.500, 0.500, 0.000), Th at (0.000, 0.500, 0.500), Th at (0.500, 0.000, 0.500), S at (0.263, 0.000, 0.753) and S at (0.265, 0.500, 0.255).

Its raw formation energy is -1875.9 meV/atom.

(2)
The following is a PBE calculation of Pr2InGa3Ni4 after structural relaxation, from Alexandria via LeMat-Bulk.

The structure belongs to space group P-4m2 (No. 115); the cell edges are 4.313, 4.313 and 9.766 Å and the angles 90.00°, 90.00° and 90.00°. The distinct sites, in fractional coordinates, are Pr at (0.000, 0.500, 0.236), In at (0.000, 0.000, 0.500), Ga at (0.000, 0.500, 0.886), Ga at (0.500, 0.500, 0.500), Ni at (0.000, 0.000, 0.000), Ni at (0.000, 0.500, 0.643) and Ni at (0.500, 0.500, 0.000).

For the energy relative to the elements, the calculation gives -0.48 eV/atom.

(3)
The following is a PBE calculation of Dy7Ru2Au2 after structural relaxation, from Alexandria via LeMat-Bulk.

The structure belongs to space group Cmmm (No. 65); the cell edges are 7.775, 10.755 and 7.015 Å and the angles 90.00°, 90.00° and 90.00°. The distinct sites, in fractional coordinates, are Dy at (0.000, 0.000, 0.000), Dy at (0.000, 0.500, 0.249), Dy at (0.250, 0.250, 0.260), Ru at (0.000, 0.295, 0.000) and Au at (0.186, 0.000, 0.500).

For the energy relative to the elements, the calculation gives -0.38 eV/atom.

(4)
The following is a PBE calculation of CdRh3 after structural relaxation, from Alexandria via LeMat-Bulk.

The structure belongs to space group Fm-3m (No. 225); the cell edges are 6.322, 6.322 and 6.322 Å and the angles 90.00°, 90.00° and 90.00°. The distinct sites, in fractional coordinates, are Cd at (0.000, 0.000, 0.000), Rh at (0.000, 0.000, 0.500) and Rh at (0.250, 0.250, 0.250).

For the energy relative to the elements, the calculation gives 0.21 eV/atom.